Record 1
The following is a GGA-PBEsol calculation of a relaxed structure of ZrAlPt, from Alexandria.

a b c (Å): 3.8363 6.8657 6.8657
angles (deg): 120.00 90.00 90.00
With the nearest neighbours (Å) after each atom.
Fractional positions:
1 Zr 0.5000 0.5895 0.5895  5 Pt 2.82-2.83, 6 Al 3.01-3.12
2 Pt 0.5000 0.0000 0.0000  6 Al 2.58, 3 Zr 2.82
3 Al 0.0000 0.7491 0.0000  4 Pt 2.58-2.62
4 Al 0.0000 0.2509 0.2509  4 Pt 2.58-2.62
5 Al 0.0000 0.0000 0.7491  4 Pt 2.58-2.62
6 Zr 0.5000 0.0000 0.4105  5 Pt 2.82-2.83, 6 Al 3.01-3.12
7 Pt 0.0000 0.6667 0.3333  3 Al 2.62, 6 Zr 2.83
8 Zr 0.5000 0.4105 0.0000  5 Pt 2.82-2.83, 6 Al 3.01-3.12
9 Pt 0.0000 0.3333 0.6667  3 Al 2.62, 6 Zr 2.83

Calculated values
As for the calculated volume: 156.6 Å³ per cell. As for the symmetry: P-62m. For the density of states at the Fermi level, the calculation gives 0.67 states/eV per atom. For the formation energy, the calculation gives -1056 meV per atom.

Record 2
The following is a GGA-PBEsol calculation of a relaxed structure of ZrBe3Fe, from Alexandria.

a b c (Å): 3.9066 3.9066 3.9066
angles (deg): 90.00 90.00 90.00
With the nearest neighbours (Å) after each atom.
Fractional positions:
1 Zr 0.5000 0.5000 0.5000  12 Be 2.76
2 Be 0.5000 0.0000 0.0000  2 Fe 1.95
3 Be 0.0000 0.0000 0.5000  2 Fe 1.95
4 Be 0.0000 0.5000 0.0000  2 Fe 1.95
5 Fe 0.0000 0.0000 0.0000  6 Be 1.95

Calculated values
As for the calculated volume: 59.6 Å³ per cell. As for the symmetry: Pm-3m. For the density of states at the Fermi level, the calculation gives 0.54 states/eV per atom. For the formation energy, the calculation gives 66 meV per atom.

Record 3
The following is a GGA-PBEsol calculation of a relaxed structure of HfTa2SiNi, from Alexandria.

a b c (Å): 4.5675 4.5675 4.7211
angles (deg): 90.00 90.00 90.00
With the nearest neighbours (Å) after each atom.
Fractional positions:
1 Ta 0.0000 0.5000 0.0000  2 Si 2.28
2 Si 0.0000 0.0000 0.0000  4 Ta 2.28, 2 Hf 2.36
3 Hf 0.0000 0.0000 0.5000  2 Si 2.36
4 Ni 0.5000 0.5000 0.5000  4 Hf 3.23, 8 Ta 3.28
5 Ta 0.5000 0.0000 0.0000  2 Si 2.28

Calculated values
The calculation puts the final energy at -8.58 eV/atom. As for the calculated volume: 98.5 Å³ per cell. As for the symmetry: P4/mmm. For the density of states at the Fermi level, the calculation gives 0.83 states/eV per atom.

Record 4
The following is a GGA-PBEsol calculation of a relaxed structure of MgTePb2, from Alexandria.

a b c (Å): 4.8260 4.8260 5.8872
angles (deg): 114.20 114.20 90.00
With the nearest neighbours (Å) after each atom.
Fractional positions:
1 Te 0.5000 0.5000 0.0000  8 Pb 3.40-3.41, 4 Mg 3.40
2 Mg 0.2500 0.7500 0.5000  8 Pb 3.40-3.41, 4 Te 3.40
3 Pb 0.7500 0.2500 0.5000  4 Pb 3.40, 4 Te 3.40, 4 Mg 3.41
4 Pb 0.0000 0.0000 0.0000  4 Pb 3.40, 4 Mg 3.40, 4 Te 3.41

Calculated values
The calculation puts the final energy at -3.37 eV/atom. As for the calculated volume: 111.7 Å³ per cell. As for the symmetry: I-4m2. For the density of states at the Fermi level, the calculation gives 0.60 states/eV per atom.

Record 5
The following is a GGA-PBEsol calculation of a relaxed structure of CuRhAu2, from Alexandria.

a b c (Å): 2.7652 4.7163 4.7163
angles (deg): 106.44 90.00 90.00
With the nearest neighbours (Å) after each atom.
Fractional positions:
1 Rh 0.5000 0.5000 0.5000  8 Au 2.73, 2 Rh 2.77, 2 Cu 2.82
2 Au 0.0000 0.0000 0.5000  4 Rh 2.73, 4 Cu 2.73, 4 Au 2.77-2.82
3 Au 0.0000 0.5000 0.0000  4 Cu 2.73, 4 Rh 2.73, 4 Au 2.77-2.82
4 Cu 0.5000 0.0000 0.0000  8 Au 2.73, 2 Cu 2.77, 2 Rh 2.82

Calculated values
The energy above the most stable polymorph in this dataset is 0 meV per atom. As for the calculated volume: 59.0 Å³ per cell. As for the symmetry: Cmmm. For the density of states at the Fermi level, the calculation gives 0.56 states/eV per atom. For the formation energy, the calculation gives 61 meV per atom.

Record 6
The following is a GGA-PBEsol calculation of a relaxed structure of Mo2PRu, from Alexandria.

a b c (Å): 2.9900 4.2768 5.0106
angles (deg): 115.26 107.36 90.00
With the nearest neighbours (Å) after each atom.
Fractional positions:
1 Mo 0.7705 0.7705 0.5410  2 P 2.47, 4 Mo 2.63, 2 Ru 2.76
2 Mo 0.2295 0.2295 0.4590  2 P 2.47, 4 Mo 2.63, 2 Ru 2.76
3 P 0.5000 0.0000 0.0000  4 Mo 2.47, 4 Ru 2.61
4 Ru 0.0000 0.5000 0.0000  4 P 2.61, 8 Mo 2.76-2.90

Calculated values
As for the calculated volume: 54.7 Å³ per cell. As for the symmetry: Immm. For the density of states at the Fermi level, the calculation gives 0.61 states/eV per atom. For the formation energy, the calculation gives -202 meV per atom.

Record 7
The following is a GGA-PBEsol calculation of a relaxed structure of LaCo2N, from Alexandria.

a b c (Å): 4.3889 4.3889 6.8360
angles (deg): 108.72 108.72 90.00
With the nearest neighbours (Å) after each atom.
Fractional positions:
1 Co 0.6250 0.4197 0.7500  2 N 1.89
2 N 0.5000 0.5000 0.0000  4 Co 1.89
3 La 0.0000 0.0000 0.0000  8 Co 2.74-3.04
4 Co 0.5803 0.8750 0.2500  2 N 1.89
5 Co 0.6697 0.3750 0.2500  2 N 1.89
6 Co 0.1250 0.3303 0.7500  2 N 1.89
7 N 0.7500 0.2500 0.5000  4 Co 1.89
8 La 0.2500 0.7500 0.5000  8 Co 2.74-3.04

Calculated values
The calculation puts the final energy at -7.58 eV/atom. As for the calculated volume: 117.3 Å³ per cell. As for the symmetry: I-42d. For the density of states at the Fermi level, the calculation gives 0.76 states/eV per atom.

Record 8
The following is a GGA-PBEsol calculation of a relaxed structure of YTc2AsPd, from Alexandria.

a b c (Å): 4.4697 4.4697 5.1415
angles (deg): 90.00 90.00 90.00
With the nearest neighbours (Å) after each atom.
Fractional positions:
1 As 0.0000 0.0000 0.0000  4 Tc 2.23
2 Pd 0.5000 0.5000 0.5000  4 Y 3.16, 8 Tc 3.41
3 Y 0.0000 0.0000 0.5000  2 As 2.57
4 Tc 0.0000 0.5000 0.0000  2 As 2.23
5 Tc 0.5000 0.0000 0.0000  2 As 2.23

Calculated values
As for the calculated volume: 102.7 Å³ per cell. As for the symmetry: P4/mmm. For the density of states at the Fermi level, the calculation gives 1.08 states/eV per atom. For the formation energy, the calculation gives 693 meV per atom.

> calculated volume of number 5 (CuRhAu2)?

59.0 Å³ per cell

Copy entry 1 word for word.
The following is a GGA-PBEsol calculation of a relaxed structure of ZrAlPt, from Alexandria.

a b c (Å): 3.8363 6.8657 6.8657
angles (deg): 120.00 90.00 90.00
With the nearest neighbours (Å) after each atom.
Fractional positions:
1 Zr 0.5000 0.5895 0.5895  5 Pt 2.82-2.83, 6 Al 3.01-3.12
2 Pt 0.5000 0.0000 0.0000  6 Al 2.58, 3 Zr 2.82
3 Al 0.0000 0.7491 0.0000  4 Pt 2.58-2.62
4 Al 0.0000 0.2509 0.2509  4 Pt 2.58-2.62
5 Al 0.0000 0.0000 0.7491  4 Pt 2.58-2.62
6 Zr 0.5000 0.0000 0.4105  5 Pt 2.82-2.83, 6 Al 3.01-3.12
7 Pt 0.0000 0.6667 0.3333  3 Al 2.62, 6 Zr 2.83
8 Zr 0.5000 0.4105 0.0000  5 Pt 2.82-2.83, 6 Al 3.01-3.12
9 Pt 0.0000 0.3333 0.6667  3 Al 2.62, 6 Zr 2.83

Calculated values
As for the calculated volume: 156.6 Å³ per cell. As for the symmetry: P-62m. For the density of states at the Fermi level, the calculation gives 0.67 states/eV per atom. For the formation energy, the calculation gives -1056 meV per atom.